No. 1
DFT (GGA-PBE) results for an optimized crystal structure of TePt5.

a b c (Å): 4.9398 4.9398 4.7815
angles (deg): 90.00 90.00 120.00
Positions (direct):
Te: 0.0000 0.0000 0.0000
Pt: 0.0000 0.6535 0.5000
Pt: 0.3333 0.6667 0.0000
Pt: 0.3465 0.3465 0.5000
Pt: 0.6535 0.0000 0.5000
Pt: 0.6667 0.3333 0.0000

Computed properties:
V, Å³/atom: 16.8
Symmetry: P-62m

---

No. 2
DFT (GGA-PBE) results for an optimized crystal structure of TePt5.

a b c (Å): 3.4850 3.4850 8.4224
angles (deg): 90.00 90.00 90.00
Positions (direct):
Te: 0.0000 0.0000 0.0000
Pt: 0.0000 0.0000 0.3399
Pt: 0.0000 0.0000 0.6601
Pt: 0.5000 0.5000 0.1735
Pt: 0.5000 0.5000 0.5000
Pt: 0.5000 0.5000 0.8265

Computed properties:
V, Å³/atom: 17.0
Symmetry: P4/mmm

---

ΔE_f (raw) list, top to bottom, in kJ/mol of atoms: -0.1 4.4
Energy above the most stable polymorph in this dataset list, top to bottom, in eV/atom: 0.000 0.047